A plane-wave DFT calculation with PBE-GGA was carried out for a relaxed structure of Ac2Sm4Ho3.

Cell lengths 6.982, 6.982, 8.813 Å; angles 99.29, 99.29, 126.32 degrees
Fractional coordinates of all 9 atoms:
Sm (0.961, 0.666, 0.627)
Sm (0.039, 0.334, 0.373)
Sm (0.334, 0.039, 0.373)
Sm (0.666, 0.961, 0.627)
Ho (0.500, 0.000, 0.000)
Ho (0.000, 0.000, 0.000)
Ho (0.000, 0.500, 0.000)
Ac (0.617, 0.617, 0.233)
Ac (0.383, 0.383, 0.767)

Output
Offset from the most stable computed form (meV per atom): 91
Energy of formation from the pure elements (eV/atom): 0.17
N(E_F) (states/eV/f.u.): 17.4
E_tot (eV/atom): -4.364


A plane-wave DFT calculation with PBE-GGA was carried out for a relaxed structure of AcSm7Ho12.

Cell lengths 9.800, 9.800, 9.800 Å; angles 109.47, 109.47, 109.47 degrees
Fractional coordinates of all 20 atoms:
Sm (0.500, 0.500, 0.500)
Sm (0.500, 0.000, 0.500)
Sm (0.000, 0.500, 0.500)
Sm (0.000, 0.000, 0.500)
Sm (0.500, 0.500, 0.000)
Sm (0.000, 0.500, 0.000)
Sm (0.500, 0.000, 0.000)
Ho (0.512, 0.256, 0.256)
Ho (0.488, 0.744, 0.744)
Ho (0.744, 0.000, 0.256)
Ho (0.744, 0.256, 0.000)
Ho (0.744, 0.488, 0.744)
Ho (0.256, 0.512, 0.256)
Ho (0.256, 0.256, 0.512)
Ho (0.000, 0.744, 0.256)
Ho (0.744, 0.744, 0.488)
Ho (0.256, 0.744, 0.000)
Ho (0.000, 0.256, 0.744)
Ho (0.256, 0.000, 0.744)
Ac (0.000, 0.000, 0.000)

Output
Energy of formation from the pure elements (eV/atom): 0.64
N(E_F) (states/eV/f.u.): 27.0
E_tot (eV/atom): -3.969


A plane-wave DFT calculation with PBE-GGA was carried out for a relaxed structure of AcSm2Ho6.

Cell lengths 5.912, 8.711, 16.935 Å; angles 133.19, 90.00, 90.00 degrees
Fractional coordinates of all 18 atoms:
Ho (0.340, 0.620, 0.464)
Ho (0.293, 0.654, 0.875)
Ho (0.660, 0.380, 0.536)
Ho (0.262, 0.105, 0.740)
Ho (0.160, 0.120, 0.964)
Ho (0.738, 0.895, 0.260)
Ho (0.762, 0.395, 0.760)
Ho (0.238, 0.605, 0.240)
Ho (0.707, 0.346, 0.125)
Ho (0.207, 0.154, 0.375)
Ho (0.840, 0.880, 0.036)
Ho (0.793, 0.846, 0.625)
Ac (0.500, 0.500, 0.000)
Ac (0.000, 0.000, 0.500)
Sm (0.164, 0.607, 0.665)
Sm (0.336, 0.107, 0.165)
Sm (0.836, 0.393, 0.335)
Sm (0.664, 0.893, 0.835)

Output
Offset from the most stable computed form (meV per atom): 0
Energy of formation from the pure elements (eV/atom): 0.26
N(E_F) (states/eV/f.u.): 13.6
E_tot (eV/atom): -4.299


A plane-wave DFT calculation with PBE-GGA was carried out for a relaxed structure of Ac2Sm4Ho7.

Cell lengths 6.193, 6.193, 13.532 Å; angles 90.00, 90.00, 120.00 degrees
Fractional coordinates of all 13 atoms:
Sm (0.000, 0.000, 0.605)
Sm (0.667, 0.333, 0.500)
Sm (0.333, 0.667, 0.500)
Sm (0.000, 0.000, 0.395)
Ho (0.000, 0.000, 0.000)
Ho (0.351, 0.000, 0.782)
Ho (0.649, 0.000, 0.218)
Ho (0.000, 0.351, 0.782)
Ho (0.649, 0.649, 0.782)
Ho (0.351, 0.351, 0.218)
Ho (0.000, 0.649, 0.218)
Ac (0.333, 0.667, 0.000)
Ac (0.667, 0.333, 0.000)

Output
Energy of formation from the pure elements (eV/atom): 0.21
N(E_F) (states/eV/f.u.): 20.1
E_tot (eV/atom): -4.342


A plane-wave DFT calculation with PBE-GGA was carried out for a relaxed structure of Ac4Sm10Ho.

Cell lengths 8.240, 9.252, 9.252 Å; angles 78.56, 63.56, 63.56 degrees
Fractional coordinates of all 15 atoms:
Sm (0.088, 0.207, 0.207)
Sm (0.912, 0.793, 0.793)
Sm (0.501, 0.793, 0.793)
Sm (0.706, 0.207, 0.793)
Sm (0.499, 0.207, 0.207)
Sm (0.294, 0.207, 0.793)
Sm (0.294, 0.793, 0.207)
Sm (0.250, 0.500, 0.500)
Sm (0.750, 0.500, 0.500)
Sm (0.706, 0.793, 0.207)
Ac (0.773, 0.000, 0.454)
Ac (0.227, 0.546, 0.000)
Ac (0.773, 0.454, 0.000)
Ac (0.227, 0.000, 0.546)
Ho (0.000, 0.000, 0.000)

Output
Energy of formation from the pure elements (eV/atom): 0.25
N(E_F) (states/eV/f.u.): 22.3
E_tot (eV/atom): -4.295


A plane-wave DFT calculation with PBE-GGA was carried out for a relaxed structure of AcSm5Ho3.

Cell lengths 6.104, 10.189, 13.529 Å; angles 58.21, 63.91, 88.69 degrees
Fractional coordinates of all 18 atoms:
Sm (0.272, 0.883, 0.259)
Sm (0.816, 0.565, 0.601)
Sm (0.183, 0.434, 0.897)
Sm (0.352, 0.736, 0.566)
Sm (0.728, 0.117, 0.741)
Sm (0.817, 0.566, 0.103)
Sm (0.638, 0.251, 0.939)
Sm (0.184, 0.435, 0.399)
Sm (0.648, 0.264, 0.434)
Sm (0.362, 0.749, 0.061)
Ho (0.726, 0.660, 0.331)
Ho (0.000, 0.000, 0.500)
Ho (0.280, 0.348, 0.165)
Ho (0.000, 0.000, 0.000)
Ho (0.720, 0.652, 0.835)
Ho (0.274, 0.340, 0.669)
Ac (0.733, 0.104, 0.247)
Ac (0.267, 0.896, 0.753)

Output
Energy of formation from the pure elements (eV/atom): 0.08
N(E_F) (states/eV/f.u.): 14.1
E_tot (eV/atom): -4.522


A plane-wave DFT calculation with PBE-GGA was carried out for a relaxed structure of AcSm7Ho2.

Cell lengths 6.316, 8.147, 9.654 Å; angles 120.60, 89.98, 121.14 degrees
Fractional coordinates of all 10 atoms:
Sm (0.100, 0.899, 0.596)
Sm (0.500, 0.500, 0.000)
Sm (0.900, 0.101, 0.404)
Sm (0.206, 0.800, 0.203)
Sm (0.295, 0.694, 0.795)
Sm (0.705, 0.306, 0.205)
Sm (0.794, 0.200, 0.797)
Ac (0.000, 0.000, 0.000)
Ho (0.405, 0.605, 0.404)
Ho (0.595, 0.395, 0.596)

Output
Offset from the most stable computed form (meV per atom): 0
Energy of formation from the pure elements (eV/atom): 0.03
N(E_F) (states/eV/f.u.): 14.1
E_tot (eV/atom): -4.602


A plane-wave DFT calculation with PBE-GGA was carried out for a relaxed structure of AcSm7Ho2.

Cell lengths 5.827, 9.166, 9.166 Å; angles 121.55, 90.00, 90.00 degrees
Fractional coordinates of all 10 atoms:
Sm (0.000, 0.235, 0.765)
Sm (0.500, 0.500, 0.500)
Sm (0.500, 0.940, 0.701)
Sm (0.000, 0.765, 0.235)
Sm (0.500, 0.299, 0.060)
Sm (0.500, 0.060, 0.299)
Sm (0.500, 0.701, 0.940)
Ho (0.500, 0.703, 0.297)
Ho (0.500, 0.297, 0.703)
Ac (0.000, 0.000, 0.000)

Output
Offset from the most stable computed form (meV per atom): 609
Energy of formation from the pure elements (eV/atom): 0.64
N(E_F) (states/eV/f.u.): 13.0
E_tot (eV/atom): -3.993


- Look up the energy of formation from the pure elements of the eighth one.
  0.64 eV/atom